The following is a GGA-PBE calculation of a relaxed structure of Er2Cu2Au, from Alexandria.

```
Er2Cu2Au
1.0
7.279 0.000 0.000
0.000 7.279 0.000
0.000 0.000 7.426
Er Cu Au
8 8 4
Direct
0.180 0.320 0.000
0.180 0.320 0.500
0.320 0.820 0.000
0.320 0.820 0.500
0.680 0.180 0.000
0.680 0.180 0.500
0.820 0.680 0.000
0.820 0.680 0.500
0.119 0.619 0.250
0.119 0.619 0.750
0.381 0.119 0.250
0.381 0.119 0.750
0.619 0.881 0.250
0.619 0.881 0.750
0.881 0.381 0.250
0.881 0.381 0.750
0.000 0.000 0.250
0.000 0.000 0.750
0.500 0.500 0.250
0.500 0.500 0.750
```

## Properties
Uncorrected energy (eV per atom): -4.58
ΔE_f (eV/atom): -0.464
Space group: P4/mnc
Polymorph energy (0 for the lowest one) (eV per formula unit): 0.00